# 1
TbPrAl2S6 | GGA-PBE | relaxed Values from VASP.

```
&SYSTEM
  ibrav = 0, nat = 10, ntyp = 4
/
ATOMIC_SPECIES
Tb 158.93 Tb.upf
S 32.06 S.upf
Pr 140.91 Pr.upf
Al 26.98 Al.upf
CELL_PARAMETERS angstrom
-3.644 5.445 1.421
2.575 -3.699 4.963
7.150 1.362 -2.696
ATOMIC_POSITIONS angstrom
Tb 5.945 3.074 3.731
S 2.048 -0.317 1.705
S 0.520 1.984 4.289
S 3.767 3.359 2.059
S 0.009 2.695 0.426
S 5.266 1.036 -0.537
S 5.831 0.345 3.330
Pr 1.085 4.238 2.600
Al 4.178 2.867 -0.034
Al 1.635 0.164 3.800
```

Output
**Total DFT energy (no corrections)**: -55.75 eV/cell
**Symmetry**: P1

=====

# 2
Li2ReBr | GGA-PBE | relaxed Values from VASP.

```
&SYSTEM
  ibrav = 0, nat = 4, ntyp = 3
/
ATOMIC_SPECIES
Br 79.90 Br.upf
Li 6.94 Li.upf
Re 186.21 Re.upf
CELL_PARAMETERS angstrom
8.697 0.004 0.002
8.198 2.904 0.002
8.198 1.411 2.539
ATOMIC_POSITIONS angstrom
Br 18.819 3.240 1.908
Li 0.131 0.022 0.013
Li 12.415 2.137 1.258
Re 6.273 1.080 0.636
```

Output
**Total DFT energy (no corrections)**: -17.53 eV/cell
**Symmetry**: R-3m

=====

| no. | magnetic moment (μB per formula unit) | ΔE_f (raw) (meV/atom) |
| --- | --- | --- |
| 1 | 0.00 | -1409 |
| 2 | 0.26 | 104 |